# 1
Compound: Th2TiAg
Source: the Alexandria database
Functional: GGA-PBE
Structure: optimized geometry

Structure (POSCAR):
```
Th2TiAg
1.0
-2.7031 -0.4760 2.1044
1.2634 -5.2690 0.4311
3.1467 1.1056 4.2919
Ag Ti Th
1 1 2
direct
0.5000 0.5000 0.5000
0.5000 0.0000 0.0000
0.0000 0.0000 0.5000
0.0000 0.5000 0.0000
```

Computed properties:
**ΔE to the lowest computed polymorph**: 0.03 eV per formula unit
**Uncorrected energy**: -25.16 eV for the cell shown
**Total magnetic moment**: 0.001 μB per formula unit
**D(E_F)**: 1.57 states/eV per atom

=====

# 2
Compound: SrReRu2
Source: the Alexandria database
Functional: GGA-PBE
Structure: optimized geometry

Structure (POSCAR):
```
SrReRu2
1.0
4.9157 -0.0316 -0.0298
4.0669 2.7614 -0.0298
1.0804 0.3284 5.7380
Sr Re Ru
1 1 2
direct
0.4947 0.4947 0.5182
0.2778 0.2778 0.1375
0.7236 0.7236 0.8144
0.0039 0.0039 0.0298
```

Computed properties:
**ΔE to the lowest computed polymorph**: 0.87 eV per formula unit
**Uncorrected energy**: -30.06 eV for the cell shown
**Total magnetic moment**: 0.000 μB per formula unit
**D(E_F)**: 1.61 states/eV per atom

=====

Question: Which value of ΔE to the lowest computed polymorph does entry 1 give?
Answer: 0.03 eV per formula unit

=====

Question: The lowest uncorrected energy belongs to which entry?
Answer: SrReRu2